[1]
Computed, not measured: an optimized crystal structure of TlPtNO2 at the PBE-GGA level of DFT.

Fermi-level density of states   1.11 states/eV per cell
Total DFT energy (no corrections)   -5.03 eV per atom
E_form (uncorrected)   0.298 eV/atom

Cell and atoms, written as CIF:
```
data_TlPtNO2
_chemical_formula_sum 'Tl1 Pt1 N1 O2'
_symmetry_space_group_name_H-M 'P 4/m m m'
_symmetry_Int_Tables_number 123
_symmetry_space_group_name_Hall '-P 4 2'
_cell_length_a 4.2561
_cell_length_b 4.2561
_cell_length_c 3.7439
_cell_angle_alpha 90.00
_cell_angle_beta 90.00
_cell_angle_gamma 90.00
loop_
_atom_site_label
_atom_site_type_symbol
_atom_site_fract_x
_atom_site_fract_y
_atom_site_fract_z
Tl1 Tl 0.0000 0.0000 0.0000
Pt1 Pt 0.5000 0.5000 0.5000
N1 N 0.5000 0.5000 0.0000
O1 O 0.0000 0.5000 0.5000
```

[2]
Computed, not measured: an optimized crystal structure of SbRuW at the PBE-GGA level of DFT.

Fermi-level density of states   4.51 states/eV per cell
Total DFT energy (no corrections)   -8.37 eV per atom
Relative energy among the computed polymorphs   0.67 eV/f.u.
E_form (uncorrected)   0.419 eV/atom

Cell and atoms, written as CIF:
```
data_SbRuW
_chemical_formula_sum 'Sb2 Ru2 W2'
_symmetry_space_group_name_H-M 'I m m 2'
_symmetry_Int_Tables_number 44
_symmetry_space_group_name_Hall 'I 2 -2'
_cell_length_a 2.9883
_cell_length_b 4.0732
_cell_length_c 8.3655
_cell_angle_alpha 90.00
_cell_angle_beta 90.00
_cell_angle_gamma 90.00
loop_
_atom_site_label
_atom_site_type_symbol
_atom_site_fract_x
_atom_site_fract_y
_atom_site_fract_z
Sb1 Sb 0.0000 0.0000 0.0000
Ru1 Ru 0.0000 0.0000 0.6767
W1 W 0.0000 0.0000 0.3253
```

[3]
Computed, not measured: an optimized crystal structure of CePr3Ho3Te8 at the PBE-GGA level of DFT.

Fermi-level density of states   43.63 states/eV per cell
Total DFT energy (no corrections)   -5.33 eV per atom
E_form (uncorrected)   -1.391 eV/atom

Cell and atoms, written as CIF:
```
data_CePr3Ho3Te8
_chemical_formula_sum 'Ce3 Pr9 Ho9 Te24'
_symmetry_space_group_name_H-M 'R -3 m'
_symmetry_Int_Tables_number 166
_symmetry_space_group_name_Hall '-R 3 2"'
_cell_length_a 8.8405
_cell_length_b 8.8405
_cell_length_c 21.7230
_cell_angle_alpha 90.00
_cell_angle_beta 90.00
_cell_angle_gamma 120.00
loop_
_atom_site_label
_atom_site_type_symbol
_atom_site_fract_x
_atom_site_fract_y
_atom_site_fract_z
Ce1 Ce 0.0000 0.0000 0.0000
Pr1 Pr 0.0000 0.5000 0.5000
Ho1 Ho 0.0000 0.5000 0.0000
Te1 Te 0.0000 0.0000 0.2551
Te2 Te 0.0178 0.5089 0.2508
```

[4]
Computed, not measured: an optimized crystal structure of La4In5Ir2 at the PBE-GGA level of DFT.

Fermi-level density of states   6.96 states/eV per cell
Total DFT energy (no corrections)   -5.22 eV per atom

Cell and atoms, written as CIF:
```
data_La4In5Ir2
_chemical_formula_sum 'La4 In5 Ir2'
_symmetry_space_group_name_H-M 'P 1 2/m 1'
_symmetry_Int_Tables_number 10
_symmetry_space_group_name_Hall '-P 2y'
_cell_length_a 7.9376
_cell_length_b 3.8614
_cell_length_c 9.9214
_cell_angle_alpha 90.00
_cell_angle_beta 93.78
_cell_angle_gamma 90.00
loop_
_atom_site_label
_atom_site_type_symbol
_atom_site_fract_x
_atom_site_fract_y
_atom_site_fract_z
La1 La 0.1714 0.0000 0.3503
La2 La 0.2184 0.0000 0.9455
In1 In 0.1836 0.5000 0.6542
In2 In 0.4536 0.5000 0.1790
In3 In 0.5000 0.5000 0.5000
Ir1 Ir 0.0806 0.5000 0.1441
```

[5]
Computed, not measured: an optimized crystal structure of MgCdPd at the PBE-GGA level of DFT.

Fermi-level density of states   1.57 states/eV per cell
Total DFT energy (no corrections)   -2.95 eV per atom
Relative energy among the computed polymorphs   0.22 eV/f.u.

Cell and atoms, written as CIF:
```
data_MgCdPd
_chemical_formula_sum 'Mg1 Cd1 Pd1'
_symmetry_space_group_name_H-M 'P 3 m 1'
_symmetry_Int_Tables_number 156
_symmetry_space_group_name_Hall 'P 3 -2"'
_cell_length_a 4.5540
_cell_length_b 4.5540
_cell_length_c 3.0038
_cell_angle_alpha 90.00
_cell_angle_beta 90.00
_cell_angle_gamma 120.00
loop_
_atom_site_label
_atom_site_type_symbol
_atom_site_fract_x
_atom_site_fract_y
_atom_site_fract_z
Mg1 Mg 0.0000 0.0000 0.0000
Cd1 Cd 0.3333 0.6667 0.6116
Pd1 Pd 0.6667 0.3333 0.2320
```

[6]
Computed, not measured: an optimized crystal structure of GePtNF2 at the PBE-GGA level of DFT.

Fermi-level density of states   3.50 states/eV per cell
Total DFT energy (no corrections)   -4.58 eV per atom
Relative energy among the computed polymorphs   0.00 eV/f.u.
E_form (uncorrected)   -0.034 eV/atom

Cell and atoms, written as CIF:
```
data_GePtNF2
_chemical_formula_sum 'Ge1 Pt1 N1 F2'
_symmetry_space_group_name_H-M 'P 4/m m m'
_symmetry_Int_Tables_number 123
_symmetry_space_group_name_Hall '-P 4 2'
_cell_length_a 4.6091
_cell_length_b 4.6091
_cell_length_c 3.6870
_cell_angle_alpha 90.00
_cell_angle_beta 90.00
_cell_angle_gamma 90.00
loop_
_atom_site_label
_atom_site_type_symbol
_atom_site_fract_x
_atom_site_fract_y
_atom_site_fract_z
Ge1 Ge 0.0000 0.0000 0.0000
Pt1 Pt 0.5000 0.5000 0.5000
N1 N 0.5000 0.5000 0.0000
F1 F 0.0000 0.5000 0.5000
```

[7]
Computed, not measured: an optimized crystal structure of ScZn2Au2 at the PBE-GGA level of DFT.

Fermi-level density of states   4.74 states/eV per cell
Total DFT energy (no corrections)   -3.39 eV per atom
Relative energy among the computed polymorphs   0.82 eV/f.u.

Cell and atoms, written as CIF:
```
data_ScZn2Au2
_chemical_formula_sum 'Sc2 Zn4 Au4'
_symmetry_space_group_name_H-M 'P 4/m b m'
_symmetry_Int_Tables_number 127
_symmetry_space_group_name_Hall '-P 4 2ab'
_cell_length_a 7.5576
_cell_length_b 7.5576
_cell_length_c 3.1378
_cell_angle_alpha 90.00
_cell_angle_beta 90.00
_cell_angle_gamma 90.00
loop_
_atom_site_label
_atom_site_type_symbol
_atom_site_fract_x
_atom_site_fract_y
_atom_site_fract_z
Sc1 Sc 0.0000 0.0000 0.0000
Zn1 Zn 0.1577 0.3423 0.5000
Au1 Au 0.1409 0.6409 0.0000
```

[8]
Computed, not measured: an optimized crystal structure of LaNdDy2 at the PBE-GGA level of DFT.

Fermi-level density of states   14.14 states/eV per cell
Total DFT energy (no corrections)   -4.71 eV per atom
Relative energy among the computed polymorphs   0.00 eV/f.u.

Cell and atoms, written as CIF:
```
data_LaNdDy2
_chemical_formula_sum 'La3 Nd3 Dy6'
_symmetry_space_group_name_H-M 'R -3 m'
_symmetry_Int_Tables_number 166
_symmetry_space_group_name_Hall '-R 3 2"'
_cell_length_a 3.6392
_cell_length_b 3.6392
_cell_length_c 35.1632
_cell_angle_alpha 90.00
_cell_angle_beta 90.00
_cell_angle_gamma 120.00
loop_
_atom_site_label
_atom_site_type_symbol
_atom_site_fract_x
_atom_site_fract_y
_atom_site_fract_z
La1 La 0.0000 0.0000 0.0000
Nd1 Nd 0.0000 0.0000 0.5000
Dy1 Dy 0.0000 0.0000 0.2494
```

[9]
Computed, not measured: an optimized crystal structure of NaLaSeS at the PBE-GGA level of DFT.

Fermi-level density of states   0.00 states/eV per cell
Total DFT energy (no corrections)   -5.08 eV per atom
Relative energy among the computed polymorphs   0.75 eV/f.u.
E_form (uncorrected)   -1.616 eV/atom

Cell and atoms, written as CIF:
```
data_NaLaSeS
_chemical_formula_sum 'Na4 La4 Se4 S4'
_symmetry_space_group_name_H-M 'F -4 3 m'
_symmetry_Int_Tables_number 216
_symmetry_space_group_name_Hall 'F -4 2 3'
_cell_length_a 7.1804
_cell_length_b 7.1804
_cell_length_c 7.1804
_cell_angle_alpha 90.00
_cell_angle_beta 90.00
_cell_angle_gamma 90.00
loop_
_atom_site_label
_atom_site_type_symbol
_atom_site_fract_x
_atom_site_fract_y
_atom_site_fract_z
Na1 Na 0.0000 0.0000 0.0000
La1 La 0.0000 0.0000 0.5000
Se1 Se 0.2500 0.2500 0.7500
S1 S 0.2500 0.2500 0.2500
```

[10]
Computed, not measured: an optimized crystal structure of La2PmBi at the PBE-GGA level of DFT.

Fermi-level density of states   6.60 states/eV per cell
Total DFT energy (no corrections)   -5.05 eV per atom
Relative energy among the computed polymorphs   0.25 eV/f.u.

Cell and atoms, written as CIF:
```
data_La2PmBi
_chemical_formula_sum 'La2 Pm1 Bi1'
_symmetry_space_group_name_H-M 'P 4/m m m'
_symmetry_Int_Tables_number 123
_symmetry_space_group_name_Hall '-P 4 2'
_cell_length_a 4.3552
_cell_length_b 4.3552
_cell_length_c 7.1823
_cell_angle_alpha 90.00
_cell_angle_beta 90.00
_cell_angle_gamma 90.00
loop_
_atom_site_label
_atom_site_type_symbol
_atom_site_fract_x
_atom_site_fract_y
_atom_site_fract_z
La1 La 0.0000 0.0000 0.2221
Pm1 Pm 0.5000 0.5000 0.5000
Bi1 Bi 0.5000 0.5000 0.0000
```

[11]
Computed, not measured: an optimized crystal structure of TiCdSb2Te at the PBE-GGA level of DFT.

Fermi-level density of states   8.50 states/eV per cell
Total DFT energy (no corrections)   -3.03 eV per atom
Relative energy among the computed polymorphs   4.54 eV/f.u.
E_form (uncorrected)   1.010 eV/atom

Cell and atoms, written as CIF:
```
data_TiCdSb2Te
_chemical_formula_sum 'Ti1 Cd1 Sb2 Te1'
_symmetry_space_group_name_H-M 'P 4/m m m'
_symmetry_Int_Tables_number 123
_symmetry_space_group_name_Hall '-P 4 2'
_cell_length_a 5.3955
_cell_length_b 5.3955
_cell_length_c 5.5499
_cell_angle_alpha 90.00
_cell_angle_beta 90.00
_cell_angle_gamma 90.00
loop_
_atom_site_label
_atom_site_type_symbol
_atom_site_fract_x
_atom_site_fract_y
_atom_site_fract_z
Ti1 Ti 0.0000 0.0000 0.0000
Cd1 Cd 0.5000 0.5000 0.5000
Sb1 Sb 0.0000 0.5000 0.5000
Te1 Te 0.5000 0.5000 0.0000
```

[12]
Computed, not measured: an optimized crystal structure of La7Er2Mg2 at the PBE-GGA level of DFT.

Fermi-level density of states   29.00 states/eV per cell
Total DFT energy (no corrections)   -4.17 eV per atom
Relative energy among the computed polymorphs   0.00 eV/f.u.

Cell and atoms, written as CIF:
```
data_La7Er2Mg2
_chemical_formula_sum 'La14 Er4 Mg4'
_symmetry_space_group_name_H-M 'C 1 2/m 1'
_symmetry_Int_Tables_number 12
_symmetry_space_group_name_Hall '-C 2y'
_cell_length_a 10.7411
_cell_length_b 11.7509
_cell_length_c 6.2516
_cell_angle_alpha 90.00
_cell_angle_beta 111.56
_cell_angle_gamma 90.00
loop_
_atom_site_label
_atom_site_type_symbol
_atom_site_fract_x
_atom_site_fract_y
_atom_site_fract_z
La1 La 0.0000 0.0000 0.0000
La2 La 0.0872 0.5000 0.7947
La3 La 0.1761 0.2481 0.1701
Er1 Er 0.1980 0.0000 0.5853
Mg1 Mg 0.0000 0.2271 0.5000
```